Entry A
Compound: Dy6HoTm12
Source: Alexandria via LeMat-Bulk
Functional: GGA-PBE
Structure: optimized geometry

Unit cell a=8.4197 b=8.4197 c=8.4197 alpha=91.61 beta=91.61 gamma=91.61
Atoms (fractional coordinates):
Dy 0.2294 0.7531 0.3652
Dy 0.2469 0.6348 0.7706
Dy 0.3652 0.2294 0.7531
Dy 0.6348 0.7706 0.2469
Dy 0.7531 0.3652 0.2294
Dy 0.7706 0.2469 0.6348
Ho 0.5000 0.5000 0.5000
Tm 0.0240 0.2919 0.9699
Tm 0.0301 0.9760 0.7081
Tm 0.1185 0.3585 0.4309
Tm 0.2919 0.9699 0.0240
Tm 0.3585 0.4309 0.1185
Tm 0.4309 0.1185 0.3585
Tm 0.5691 0.8815 0.6415
Tm 0.6415 0.5691 0.8815
Tm 0.7081 0.0301 0.9760
Tm 0.8815 0.6415 0.5691
Tm 0.9699 0.0240 0.2919
Tm 0.9760 0.7081 0.0301

Entry B
Compound: Dy6HoTm12
Source: Alexandria via LeMat-Bulk
Functional: GGA-PBE
Structure: optimized geometry

Unit cell a=9.1840 b=9.1840 c=9.1840 alpha=109.27 beta=109.27 gamma=109.27
Atoms (fractional coordinates):
Dy 0.1966 0.5649 0.5649
Dy 0.4351 0.4351 0.8034
Dy 0.4351 0.8034 0.4351
Dy 0.5649 0.1966 0.5649
Dy 0.5649 0.5649 0.1966
Dy 0.8034 0.4351 0.4351
Ho 0.5000 0.5000 0.5000
Tm 0.0000 0.2915 0.7085
Tm 0.0000 0.7085 0.2915
Tm 0.1121 0.1121 0.3447
Tm 0.1121 0.3447 0.1121
Tm 0.2915 0.0000 0.7085
Tm 0.2915 0.7085 0.0000
Tm 0.3447 0.1121 0.1121
Tm 0.6553 0.8879 0.8879
Tm 0.7085 0.0000 0.2915
Tm 0.7085 0.2915 0.0000
Tm 0.8879 0.6553 0.8879
Tm 0.8879 0.8879 0.6553

Verdict on stability: entry A comes out on top.

Entry A
Compound: Dy4Ho5Tm3
Source: Alexandria via LeMat-Bulk
Functional: GGA-PBE
Structure: optimized geometry

Unit cell a=6.0819 b=7.0302 c=8.5973 alpha=89.99 beta=89.93 gamma=89.89
Atoms (fractional coordinates):
Dy 0.1663 0.2507 0.3330
Dy 0.3334 0.9998 0.6668
Dy 0.6666 0.0002 0.3332
Dy 0.8337 0.7493 0.6670
Ho 0.0000 0.0000 0.0000
Ho 0.3330 0.4999 0.6669
Ho 0.4993 0.7495 0.0000
Ho 0.5007 0.2505 0.0000
Ho 0.6670 0.5001 0.3332
Tm 0.0000 0.5000 0.0000
Tm 0.1670 0.7497 0.3329
Tm 0.8330 0.2503 0.6671

Entry B
Compound: Dy4Ho5Tm3
Source: Alexandria via LeMat-Bulk
Functional: GGA-PBE
Structure: optimized geometry

Unit cell a=8.4657 b=8.4657 c=9.1738 alpha=114.88 beta=114.88 gamma=40.13
Atoms (fractional coordinates):
Dy 0.0809 0.0809 0.4403
Dy 0.2145 0.2145 0.8788
Dy 0.7855 0.7855 0.1212
Dy 0.9191 0.9191 0.5597
Ho 0.0000 0.0000 0.0000
Ho 0.3272 0.3272 0.6150
Ho 0.4266 0.4266 0.2978
Ho 0.5734 0.5734 0.7022
Ho 0.6728 0.6728 0.3850
Tm 0.2101 0.2101 0.2324
Tm 0.5000 0.5000 0.0000
Tm 0.7899 0.7899 0.7676

Verdict on stability: entry A comes out on top.

Entry A
Compound: DyHo4Tm7
Source: Alexandria via LeMat-Bulk
Functional: GGA-PBE
Structure: optimized geometry

Unit cell a=6.4250 b=6.7075 c=8.8810 alpha=85.00 beta=76.73 gamma=81.21
Atoms (fractional coordinates):
Dy 0.0000 0.0000 0.0000
Ho 0.1633 0.6169 0.3109
Ho 0.3613 0.1938 0.7127
Ho 0.6387 0.8062 0.2873
Ho 0.8367 0.3831 0.6891
Tm 0.0000 0.5000 0.0000
Tm 0.1884 0.1076 0.3863
Tm 0.3178 0.7037 0.6429
Tm 0.4843 0.2492 0.0497
Tm 0.5157 0.7508 0.9503
Tm 0.6822 0.2963 0.3571
Tm 0.8116 0.8924 0.6137

Entry B
Compound: DyHo4Tm7
Source: Alexandria via LeMat-Bulk
Functional: GGA-PBE
Structure: optimized geometry

Unit cell a=6.6244 b=6.6244 c=12.5139 alpha=115.28 beta=115.28 gamma=51.57
Atoms (fractional coordinates):
Dy 0.0000 0.0000 0.0000
Ho 0.2430 0.2430 0.6803
Ho 0.3640 0.3640 0.2251
Ho 0.6360 0.6360 0.7749
Ho 0.7570 0.7570 0.3197
Tm 0.0619 0.0619 0.3215
Tm 0.2122 0.2122 0.9241
Tm 0.3657 0.3657 0.4997
Tm 0.5000 0.5000 0.0000
Tm 0.6343 0.6343 0.5003
Tm 0.7878 0.7878 0.0759
Tm 0.9381 0.9381 0.6785

Verdict on stability: entry A comes out on top.

Entry A
Compound: DyHo2Tm7
Source: Alexandria via LeMat-Bulk
Functional: GGA-PBE
Structure: optimized geometry

Unit cell a=6.0435 b=6.9956 c=7.8029 alpha=77.16 beta=74.98 gamma=73.32
Atoms (fractional coordinates):
Dy 0.0000 0.0000 0.0000
Ho 0.2000 0.2999 0.6002
Ho 0.8000 0.7001 0.3998
Tm 0.0000 0.5000 0.0000
Tm 0.2003 0.7998 0.6000
Tm 0.3998 0.1001 0.1998
Tm 0.4003 0.5998 0.2002
Tm 0.5997 0.4002 0.7998
Tm 0.6002 0.8999 0.8002
Tm 0.7997 0.2002 0.4000

Entry B
Compound: DyHo2Tm7
Source: Alexandria via LeMat-Bulk
Functional: GGA-PBE
Structure: optimized geometry

Unit cell a=9.4590 b=9.4590 c=5.1511 alpha=90.00 beta=90.00 gamma=125.84
Atoms (fractional coordinates):
Dy 0.0000 0.0000 0.0000
Ho 0.2991 0.7009 0.5000
Ho 0.7009 0.2991 0.5000
Tm 0.0690 0.2876 0.5000
Tm 0.1970 0.8030 0.0000
Tm 0.2876 0.0690 0.5000
Tm 0.5000 0.5000 0.5000
Tm 0.7124 0.9310 0.5000
Tm 0.8030 0.1970 0.0000
Tm 0.9310 0.7124 0.5000

Verdict on stability: entry A comes out on top.